DFT (PBE+U) results for a geometry-optimized Li4Fe3Co3Cu2O16 structure.

Cell: 5.6728 5.7193 9.4652 Å, 90.22 89.80 119.79°
Element x y z (fractional)
1 Li 0.3340 0.6700 0.9006
2 Li 0.0100 0.0081 0.9972
3 Li 0.0027 0.0003 0.4954
4 Li 0.6665 0.3296 0.3989
5 Fe 0.6631 0.8289 0.2134
6 Fe 0.8319 0.6635 0.7124
7 Fe 0.8302 0.1684 0.7128
8 Co 0.1702 0.8278 0.2140
9 Co 0.1691 0.3340 0.2109
10 Co 0.3385 0.1706 0.7141
11 Cu 0.3291 0.6637 0.4863
12 Cu 0.6646 0.3372 0.9877
13 O 0.1578 0.8367 0.6045
14 O 0.0371 0.5163 0.3298
15 O 0.3328 0.6610 0.1089
16 O 0.0029 0.0010 0.3089
17 O 0.9989 0.0000 0.8111
18 O 0.1549 0.3193 0.6036
19 O 0.4831 0.9598 0.3338
20 O 0.4759 0.5113 0.3319
21 O 0.3258 0.1661 0.1095
22 O 0.6723 0.8353 0.6053
23 O 0.5136 0.4809 0.8317
24 O 0.5176 0.0382 0.8339
25 O 0.6674 0.3347 0.6072
26 O 0.8414 0.6860 0.1016
27 O 0.9642 0.4837 0.8343
28 O 0.8445 0.1679 0.1083

VASP energy in eV per atom: -5.612
Size of the total moment in μB/atom: 0.25